# 1
First-principles (PBE) data for Sc3SnN after structural relaxation, as listed in the Alexandria database.

Lattice parameters (Å, degrees): 8.223 8.223 5.720 92.38 92.38 98.36
Fractional coordinates of all 20 atoms:
Sc1 0.063 0.721 0.918
Sc2 0.194 0.580 0.412
Sc3 0.279 0.937 0.582
Sc4 0.320 0.454 0.905
Sc5 0.420 0.806 0.088
Sc6 0.454 0.320 0.405
Sc7 0.546 0.680 0.595
Sc8 0.580 0.194 0.912
Sc9 0.680 0.546 0.095
Sc10 0.721 0.063 0.418
Sc11 0.806 0.420 0.588
Sc12 0.937 0.279 0.082
Sn1 0.088 0.235 0.562
Sn2 0.235 0.088 0.062
Sn3 0.765 0.912 0.938
Sn4 0.912 0.765 0.438
N1 0.303 0.697 0.750
N2 0.437 0.563 0.250
N3 0.563 0.437 0.750
N4 0.697 0.303 0.250

## Properties
The value obtained for the uncorrected formation energy is -0.99 eV/atom. The calculation puts the total energy at -7.258 eV per atom. Its calculated volume is 19.09 Å³/atom. The space group is C2/c, No. 15.

# 2
First-principles (PBE) data for Sr2SnAsS after structural relaxation, as listed in the Alexandria database.

Lattice parameters (Å, degrees): 5.618 5.618 5.255 90.00 90.00 90.00
Fractional coordinates of all 5 atoms:
Sr1 0.000 0.500 0.000
Sr2 0.500 0.000 0.000
Sn1 0.000 0.000 0.500
As1 0.500 0.500 0.500
S1 0.000 0.000 0.000

## Properties
The value obtained for the uncorrected formation energy is -0.68 eV/atom. The calculation puts the total energy at -3.908 eV per atom. Its calculated volume is 33.17 Å³/atom. The space group is P4/mmm, No. 123.

# 3
First-principles (PBE) data for Ca4ScCu after structural relaxation, as listed in the Alexandria database.

Lattice parameters (Å, degrees): 6.694 6.694 6.694 60.00 60.00 60.00
Fractional coordinates of all 6 atoms:
Ca1 0.125 0.125 0.125
Ca2 0.125 0.125 0.624
Ca3 0.125 0.624 0.125
Ca4 0.624 0.125 0.125
Sc1 0.500 0.500 0.500
Cu1 0.750 0.750 0.750

## Properties
The calculation puts the total energy at -2.416 eV per atom. Its calculated volume is 35.35 Å³/atom. As for the energy relative to the elements: 0.656 eV/atom. The space group is F-43m, No. 216.

# 4
First-principles (PBE) data for HgHIN2 after structural relaxation, as listed in the Alexandria database.

Lattice parameters (Å, degrees): 4.266 4.266 6.824 90.00 90.00 90.00
Fractional coordinates of all 5 atoms:
Hg1 0.000 0.000 0.000
H1 0.500 0.500 0.500
I1 0.000 0.000 0.500
N1 0.000 0.500 0.000
N2 0.500 0.000 0.000

## Properties
The calculation puts the total energy at -2.204 eV per atom. Its calculated volume is 24.84 Å³/atom. The relative energy among the computed polymorphs is 0.00 eV/f.u. The space group is P4/mmm, No. 123.

# 5
First-principles (PBE) data for LiSc3Fe after structural relaxation, as listed in the Alexandria database.

Lattice parameters (Å, degrees): 4.705 4.705 4.705 90.00 90.00 90.00
Fractional coordinates of all 5 atoms:
Li1 0.000 0.000 0.000
Sc1 0.000 0.000 0.500
Sc2 0.000 0.500 0.000
Sc3 0.500 0.000 0.000
Fe1 0.500 0.500 0.500

## Properties
The calculation puts the total energy at -4.801 eV per atom. Its calculated volume is 20.83 Å³/atom. The relative energy among the computed polymorphs is 4.95 eV/f.u. As for the energy relative to the elements: 1.073 eV/atom. The space group is Pm-3m, No. 221.

# 6
First-principles (PBE) data for Ho2TlHg after structural relaxation, as listed in the Alexandria database.

Lattice parameters (Å, degrees): 5.298 5.298 5.298 60.00 60.00 60.00
Fractional coordinates of all 4 atoms:
Ho1 0.250 0.250 0.250
Ho2 0.750 0.750 0.750
Tl1 0.000 0.000 0.000
Hg1 0.500 0.500 0.500

## Properties
The calculation puts the total energy at -3.357 eV per atom. Its calculated volume is 26.29 Å³/atom. As for the energy relative to the elements: -0.401 eV/atom. The space group is Fm-3m, No. 225.

# 7
First-principles (PBE) data for Tb8DyEr6 after structural relaxation, as listed in the Alexandria database.

Lattice parameters (Å, degrees): 8.565 8.565 8.565 63.12 63.12 63.12
Fractional coordinates of all 15 atoms:
Tb1 0.077 0.077 0.077
Tb2 0.220 0.611 0.245
Tb3 0.245 0.220 0.611
Tb4 0.389 0.755 0.780
Tb5 0.611 0.245 0.220
Tb6 0.755 0.780 0.389
Tb7 0.780 0.389 0.755
Tb8 0.923 0.923 0.923
Dy1 0.500 0.500 0.500
Er1 0.040 0.605 0.736
Er2 0.264 0.960 0.395
Er3 0.395 0.264 0.960
Er4 0.605 0.736 0.040
Er5 0.736 0.040 0.605
Er6 0.960 0.395 0.264

## Properties
The calculation puts the total energy at -4.471 eV per atom. Its calculated volume is 31.66 Å³/atom. The relative energy among the computed polymorphs is 0.00 eV/f.u. As for the energy relative to the elements: 0.130 eV/atom. The space group is R-3, No. 148.

# 8
First-principles (PBE) data for PuPa2RhN5 after structural relaxation, as listed in the Alexandria database.

Lattice parameters (Å, degrees): 6.849 6.849 10.413 90.00 90.00 151.22
Fractional coordinates of all 18 atoms:
Pu1 0.204 0.796 0.500
Pu2 0.796 0.204 0.000
Pa1 0.100 0.900 0.180
Pa2 0.146 0.854 0.793
Pa3 0.854 0.146 0.293
Pa4 0.900 0.100 0.680
Rh1 0.478 0.522 0.946
Rh2 0.522 0.478 0.446
N1 0.053 0.947 0.573
N2 0.275 0.725 0.161
N3 0.332 0.668 0.847
N4 0.370 0.630 0.500
N5 0.476 0.524 0.262
N6 0.524 0.476 0.762
N7 0.630 0.370 0.000
N8 0.668 0.332 0.347
N9 0.725 0.275 0.661
N10 0.947 0.053 0.073

## Properties
The value obtained for the uncorrected formation energy is -1.04 eV/atom. The calculation puts the total energy at -10.185 eV per atom. Its calculated volume is 13.06 Å³/atom. The space group is Cmc2_1, No. 36.

# 9
First-principles (PBE) data for LaNdBr2 after structural relaxation, as listed in the Alexandria database.

Lattice parameters (Å, degrees): 8.336 8.336 8.336 34.37 34.37 34.37
Fractional coordinates of all 4 atoms:
La1 0.000 0.000 0.000
Nd1 0.500 0.500 0.500
Br1 0.377 0.377 0.377
Br2 0.623 0.623 0.623

## Properties
The value obtained for the uncorrected formation energy is -0.76 eV/atom. The calculation puts the total energy at -4.017 eV per atom. Its calculated volume is 41.17 Å³/atom. The relative energy among the computed polymorphs is 1.85 eV/f.u. The space group is R-3m, No. 166.

# 10
First-principles (PBE) data for K2Zn2HgH6 after structural relaxation, as listed in the Alexandria database.

Lattice parameters (Å, degrees): 5.177 6.509 6.985 100.86 103.84 107.25
Fractional coordinates of all 11 atoms:
K1 0.056 0.298 0.239
K2 0.944 0.702 0.761
Zn1 0.324 0.357 0.833
Zn2 0.676 0.643 0.167
Hg1 0.500 0.000 0.500
H1 0.120 0.129 0.852
H2 0.290 0.460 0.639
H3 0.319 0.576 0.037
H4 0.681 0.424 0.963
H5 0.710 0.540 0.361
H6 0.880 0.871 0.148

## Properties
The calculation puts the total energy at -2.418 eV per atom. Its calculated volume is 19.05 Å³/atom. The space group is P-1, No. 2.

# 11
First-principles (PBE) data for Pr2Y4Ho2Er after structural relaxation, as listed in the Alexandria database.

Lattice parameters (Å, degrees): 6.202 6.212 8.017 82.59 75.11 80.31
Fractional coordinates of all 9 atoms:
Pr1 0.170 0.330 0.333
Pr2 0.830 0.670 0.667
Y1 0.056 0.110 0.779
Y2 0.278 0.554 0.888
Y3 0.722 0.446 0.112
Y4 0.944 0.890 0.221
Ho1 0.391 0.777 0.444
Ho2 0.609 0.223 0.556
Er1 0.500 0.000 0.000

## Properties
The calculation puts the total energy at -5.439 eV per atom. Its calculated volume is 32.56 Å³/atom. As for the energy relative to the elements: 0.021 eV/atom. The space group is P-1, No. 2.

# 12
First-principles (PBE) data for AcTeH after structural relaxation, as listed in the Alexandria database.

Lattice parameters (Å, degrees): 5.904 5.904 5.904 140.84 140.84 56.58
Fractional coordinates of all 3 atoms:
Ac1 0.000 0.000 0.000
Te1 0.319 0.319 0.000
H1 0.592 0.592 0.000

## Properties
The calculation puts the total energy at -4.237 eV per atom. Its calculated volume is 27.13 Å³/atom. The relative energy among the computed polymorphs is 1.68 eV/f.u. The space group is I4mm, No. 107.